This record from Alexandria via LeMat-Bulk describes a geometry-optimized In2WBr2 structure. The functional is GGA-PBE.

Calculated values
- Distance to the lowest polymorph of the same formula: 206.1 meV/atom
- ΔE_f (raw): 0.912 eV/atom

Unit cell a=3.7512 b=3.7512 c=10.2861 alpha=79.49 beta=79.49 gamma=90.00
Last column: magnetic moment on the atom in μB.
Fractional coordinates of all 5 atoms:
Br1 0.2500 0.7500 0.5000  -0.01
Br2 0.7500 0.2500 0.5000  -0.01
In1 0.4281 0.4281 0.1438  -0.03
In2 0.5719 0.5719 0.8562  -0.03
W1 0.0000 0.0000 0.0000  0.36

***

This record from Alexandria via LeMat-Bulk describes a geometry-optimized Y2InWBr structure. The functional is GGA-PBE.

Calculated values
- ΔE_f (raw): 0.935 eV/atom

Unit cell a=5.1782 b=5.2466 c=5.1782 alpha=90.00 beta=90.00 gamma=90.00
Fractional coordinates of all 5 atoms:
W1 0.5000 0.5000 0.5000
Y1 0.5000 0.0000 0.0000
Y2 0.0000 0.0000 0.5000
In1 0.0000 0.5000 0.0000
Br1 0.0000 0.0000 0.0000

***

This record from Alexandria via LeMat-Bulk describes a geometry-optimized YInBr structure. The functional is GGA-PBE.

Calculated values
- ΔE_f (raw): -0.699 eV/atom

Unit cell a=8.2303 b=8.2303 c=8.2303 alpha=155.24 beta=155.24 gamma=35.30
Fractional coordinates of all 3 atoms:
In1 0.2921 0.2921 0.0000
Br1 0.0482 0.0482 0.0000
Y1 0.6597 0.6597 0.0000

***

This record from Alexandria via LeMat-Bulk describes a geometry-optimized Y2InBr structure. The functional is GGA-PBE.

Calculated values
- Distance to the lowest polymorph of the same formula: 174.5 meV/atom
- ΔE_f (raw): -0.568 eV/atom

Unit cell a=5.3522 b=5.3522 c=5.3522 alpha=60.00 beta=60.00 gamma=60.00
Fractional coordinates of all 4 atoms:
In1 0.5000 0.5000 0.5000
Y1 0.7500 0.7500 0.7500
Y2 0.2500 0.2500 0.2500
Br1 0.0000 0.0000 0.0000

***

Short version: total magnetization = 0.38 0.00 0.00 0.00 μB per formula unit, in the order given.